Entry 1:
Computed, not measured: crystalline AlCo2Rh at its relaxed geometry at the PBEsol level of DFT.

Unit cell a=4.8639 b=8.3134 c=2.6234 alpha=90.00 beta=113.71 gamma=90.00
Closest atoms and distances in Å follow each position.
Space group C2/m (No. 12)
One atom of each set of equivalent atoms:
Al  0.0000  0.0000  0.0000 x2  2 Rh 2.43, 4 Co 2.50, 2 Al 2.62
Co  0.2500  0.2500  0.5000 x4  4 Co 2.43-2.62, 2 Al 2.50, 2 Rh 2.50
Rh  0.0000  0.5000  0.0000 x2  2 Al 2.43, 4 Co 2.50, 2 Rh 2.62

Output
Magnetization (μB per cell): 7.049
E_form (eV/f.u.): -0.56

Entry 2:
Computed, not measured: crystalline AlCoRh2 at its relaxed geometry at the PBEsol level of DFT.

Unit cell a=2.8805 b=2.8805 c=6.1348 alpha=90.00 beta=90.00 gamma=90.00
Closest atoms and distances in Å follow each position.
Space group P4/mmm (No. 123)
One atom of each set of equivalent atoms:
Al  0.0000  0.0000  0.0000 x1  8 Rh 2.53
Co  0.0000  0.0000  0.5000 x1  8 Rh 2.57
Rh  0.5000  0.5000  0.2456 x2  4 Al 2.53, 4 Co 2.57

Output
Magnetization (μB per cell): 2.980
E_form (eV/f.u.): -1.73

Entry 3:
Computed, not measured: crystalline AlCo2Rh at its relaxed geometry at the PBEsol level of DFT.

Unit cell a=8.6530 b=2.7516 c=4.2687 alpha=90.00 beta=110.26 gamma=90.00
Closest atoms and distances in Å follow each position.
Space group Cm (No. 8)
One atom of each set of equivalent atoms:
Al  0.0000  0.0000  0.0000 x2  3 Rh 2.48-2.49, 6 Co 2.48-2.60, 2 Al 2.75
Co  0.2461  0.5000  0.3354 x2  3 Co 2.38-2.52, 4 Rh 2.50-2.58, 2 Al 2.52
Co  0.4847  0.0000  0.4725 x2  3 Co 2.38-2.52, 4 Al 2.48-2.60, 2 Rh 2.63
Rh  0.2457  0.0000  0.8252 x2  3 Al 2.48-2.49, 6 Co 2.50-2.63, 2 Rh 2.75

Output
Magnetization (μB per cell): 5.960
E_form (eV/f.u.): -1.04

Entry 4:
Computed, not measured: crystalline AlCoRh3 at its relaxed geometry at the PBEsol level of DFT.

Unit cell a=4.3558 b=4.3558 c=4.3558 alpha=90.00 beta=90.00 gamma=90.00
Closest atoms and distances in Å follow each position.
Space group Pm-3m (No. 221)
One atom of each set of equivalent atoms:
Al  0.0000  0.0000  0.0000 x1  12 Rh 3.08
Co  0.5000  0.5000  0.5000 x1  6 Rh 2.18
Rh  0.0000  0.5000  0.5000 x3  2 Co 2.18

Output
Magnetization (μB per cell): 3.447
E_form (eV/f.u.): 4.43

Entry 5:
Computed, not measured: crystalline AlCoRh at its relaxed geometry at the PBEsol level of DFT.

Unit cell a=4.0244 b=4.0244 c=2.6899 alpha=90.00 beta=90.00 gamma=120.00
Closest atoms and distances in Å follow each position.
Space group P3m1 (No. 156)
One atom of each set of equivalent atoms:
Al  0.0000  0.0000  0.0000 x1  3 Co 2.40, 3 Rh 2.53, 2 Al 2.69
Co  0.3333  0.6667  0.2277 x1  3 Al 2.40, 3 Rh 2.56, 2 Co 2.69
Rh  0.6667  0.3333  0.6308 x1  3 Al 2.53, 6 Co 2.56-2.82, 2 Rh 2.69

Output
Magnetization (μB per cell): 1.865
E_form (eV/f.u.): -0.95

Entry 6:
Computed, not measured: crystalline Al2CoSbRh at its relaxed geometry at the PBEsol level of DFT.

Unit cell a=4.3587 b=4.3587 c=4.5787 alpha=90.00 beta=90.00 gamma=90.00
Closest atoms and distances in Å follow each position.
Space group P4/mmm (No. 123)
One atom of each set of equivalent atoms:
Al  0.0000  0.5000  0.0000 x2  2 Co 2.18
Co  0.0000  0.0000  0.0000 x1  4 Al 2.18, 2 Sb 2.29
Sb  0.0000  0.0000  0.5000 x1  2 Co 2.29
Rh  0.5000  0.5000  0.5000 x1  4 Sb 3.08, 8 Al 3.16

Output
Formation energy without anion corrections (kJ/mol of formula units): 125
Magnetization (μB per cell): 0.000

Entry 7:
Computed, not measured: crystalline AlCo2Ru at its relaxed geometry at the PBEsol level of DFT.

Unit cell a=2.6342 b=2.6342 c=23.9944 alpha=90.00 beta=90.00 gamma=120.00
Closest atoms and distances in Å follow each position.
Space group R3m (No. 160, hexagonal axes)
One atom of each set of equivalent atoms:
Al  0.0000  0.0000  0.0000 x3  3 Co 2.48, 3 Ru 2.62, 6 Al 2.63
Co  0.0000  0.0000  0.4933 x3  9 Co 2.42-2.63, 3 Ru 2.54
Co  0.0000  0.0000  0.7483 x3  9 Co 2.42-2.63, 3 Al 2.48
Ru  0.0000  0.0000  0.2446 x3  3 Co 2.54, 3 Al 2.62, 6 Ru 2.63

Output
Magnetization (μB per cell): 7.823
E_form (eV/f.u.): 0.00

Entry 8:
Computed, not measured: crystalline AlCoRu2 at its relaxed geometry at the PBEsol level of DFT.

Unit cell a=8.6521 b=2.6930 c=4.3924 alpha=90.00 beta=101.27 gamma=90.00
Closest atoms and distances in Å follow each position.
Space group Cm (No. 8)
One atom of each set of equivalent atoms:
Al  0.0000  0.0000  0.0000 x2  7 Ru 2.54-2.68, 3 Co 2.55-2.58, 2 Al 2.69
Co  0.2542  0.0000  0.7767 x2  3 Al 2.55-2.58, 7 Ru 2.57-2.66, 2 Co 2.69
Ru  0.0062  0.5000  0.5118 x2  4 Al 2.54-2.61, 5 Ru 2.58-2.69, 3 Co 2.61-2.66
Ru  0.2572  0.5000  0.2770 x2  4 Co 2.57-2.58, 5 Ru 2.58-2.69, 3 Al 2.63-2.68

Output
Magnetization (μB per cell): 1.228
E_form (eV/f.u.): -0.50

Entry 9:
Computed, not measured: crystalline AlCoRu3 at its relaxed geometry at the PBEsol level of DFT.

Unit cell a=4.3190 b=4.3190 c=4.3190 alpha=90.00 beta=90.00 gamma=90.00
Closest atoms and distances in Å follow each position.
Space group Pm-3m (No. 221)
One atom of each set of equivalent atoms:
Al  0.0000  0.0000  0.0000 x1  12 Ru 3.05
Co  0.5000  0.5000  0.5000 x1  6 Ru 2.16
Ru  0.0000  0.5000  0.5000 x3  2 Co 2.16

Output
Magnetization (μB per cell): 2.791
E_form (eV/f.u.): 6.54

Entry 10:
Computed, not measured: crystalline Al2CoRu at its relaxed geometry at the PBEsol level of DFT.

Unit cell a=3.5266 b=3.5266 c=8.1436 alpha=90.00 beta=90.00 gamma=90.00
Closest atoms and distances in Å follow each position.
Space group I-4m2 (No. 119)
One atom of each set of equivalent atoms:
Al  0.0000  0.0000  0.0000 x2  4 Co 2.49, 4 Ru 2.69, 4 Al 2.69
Al  0.0000  0.5000  0.2500 x2  4 Ru 2.49, 4 Co 2.69, 4 Al 2.69
Co  0.0000  0.0000  0.5000 x2  8 Al 2.49-2.69, 4 Ru 2.69
Ru  0.0000  0.5000  0.7500 x2  8 Al 2.49-2.69, 4 Co 2.69

Output
Magnetization (μB per cell): 0.006
E_form (eV/f.u.): -1.32
Energy above the most stable polymorph in this dataset (meV per atom): 306

Entry 11:
Computed, not measured: crystalline AlCoRu2 at its relaxed geometry at the PBEsol level of DFT.

Unit cell a=2.6881 b=3.6077 c=5.1952 alpha=90.00 beta=90.00 gamma=90.00
Closest atoms and distances in Å follow each position.
Space group Pmm2 (No. 25)
One atom of each set of equivalent atoms:
Al  0.0000  0.0000  0.0000 x1  6 Ru 2.52-2.67, 4 Co 2.55, 2 Al 2.69
Co  0.5000  0.5000  0.2298 x1  4 Al 2.55, 6 Ru 2.58-2.61, 2 Co 2.69
Ru  0.0000  0.0000  0.4858 x1  2 Al 2.52-2.67, 6 Ru 2.58-2.69, 4 Co 2.61
Ru  0.5000  0.5000  0.7273 x1  6 Ru 2.58-2.69, 2 Co 2.58-2.61, 4 Al 2.66

Output
Magnetization (μB per cell): 0.002
E_form (eV/f.u.): -0.51

Entry 12:
Computed, not measured: crystalline Al2CoRu at its relaxed geometry at the PBEsol level of DFT.

Unit cell a=5.8085 b=5.8085 c=5.8085 alpha=90.00 beta=90.00 gamma=90.00
Closest atoms and distances in Å follow each position.
Space group Fm-3m (No. 225)
One atom of each set of equivalent atoms:
Al  0.2500  0.2500  0.2500 x8  4 Co 2.52, 4 Ru 2.52
Co  0.0000  0.0000  0.0000 x4  8 Al 2.52
Ru  0.0000  0.0000  0.5000 x4  8 Al 2.52

Output
Magnetization (μB per cell): 0.003
E_form (eV/f.u.): -2.54
Energy above the most stable polymorph in this dataset (meV per atom): 0

Entry 13:
Computed, not measured: crystalline Al2CoRu at its relaxed geometry at the PBEsol level of DFT.

Unit cell a=4.0857 b=4.0857 c=2.9448 alpha=90.00 beta=90.00 gamma=90.00
Closest atoms and distances in Å follow each position.
Space group P4/mmm (No. 123)
One atom of each set of equivalent atoms:
Al  0.0000  0.5000  0.0000 x2  4 Co 2.52, 4 Ru 2.52
Co  0.0000  0.0000  0.5000 x1  8 Al 2.52
Ru  0.5000  0.5000  0.5000 x1  8 Al 2.52

Output
Magnetization (μB per cell): 0.000
E_form (eV/f.u.): -2.52
Energy above the most stable polymorph in this dataset (meV per atom): 5

Entry 14:
Computed, not measured: crystalline AlCoRu2S at its relaxed geometry at the PBEsol level of DFT.

Unit cell a=4.2684 b=4.2684 c=3.9619 alpha=90.00 beta=90.00 gamma=90.00
Closest atoms and distances in Å follow each position.
Space group P4/mmm (No. 123)
One atom of each set of equivalent atoms:
Al  0.0000  0.0000  0.0000 x1  8 Ru 2.91, 4 Co 3.02
Co  0.5000  0.5000  0.0000 x1  2 S 1.98
Ru  0.0000  0.5000  0.5000 x2  2 S 2.13
S  0.5000  0.5000  0.5000 x1  2 Co 1.98, 4 Ru 2.13

Output
Formation energy without anion corrections (kJ/mol of formula units): 93
Magnetization (μB per cell): 0.002

Entry 15:
Computed, not measured: crystalline Y3AlCoS7 at its relaxed geometry at the PBEsol level of DFT.

Unit cell a=9.3730 b=9.3730 c=6.0658 alpha=90.00 beta=90.00 gamma=120.00
Closest atoms and distances in Å follow each position.
Space group P6_3 (No. 173)
One atom of each set of equivalent atoms:
Y  0.1591  0.7849  0.0000 x6  7 S 2.69-2.96
Al  0.3333  0.6667  0.5746 x2  4 S 2.22-2.23
Co  0.0000  0.0000  0.1596 x2  6 S 2.35-2.38
S  0.0837  0.5212  0.7261 x6  1 Al 2.23
S  0.0972  0.8743  0.4067 x6  2 Co 2.35-2.38
S  0.3333  0.6667  0.2092 x2  1 Al 2.22

Output
Formation energy without anion corrections (kJ/mol of formula units): -1872
Magnetization (μB per cell): 2.023

Entry 16:
Computed, not measured: crystalline AlCoSb at its relaxed geometry at the PBEsol level of DFT.

Unit cell a=2.9504 b=2.9504 c=11.6983 alpha=90.00 beta=90.00 gamma=90.00
Closest atoms and distances in Å follow each position.
Space group I4mm (No. 107)
One atom of each set of equivalent atoms:
Al  0.0000  0.0000  0.0000 x2  4 Co 2.47
Co  0.0000  0.0000  0.6137 x2  4 Al 2.47, 4 Sb 2.70
Sb  0.0000  0.0000  0.2607 x2  4 Co 2.70, 4 Sb 2.95

Output
Formation energy without anion corrections (kJ/mol of formula units): 1
Magnetization (μB per cell): 0.945

Entry 17:
Computed, not measured: crystalline AlCoSb4 at its relaxed geometry at the PBEsol level of DFT.

Unit cell a=8.5623 b=8.5623 c=8.5623 alpha=90.00 beta=90.00 gamma=90.00
Closest atoms and distances in Å follow each position.
Space group F-43m (No. 216)
One atom of each set of equivalent atoms:
Al  0.0000  0.0000  0.0000 x4  12 Sb 3.55, 4 Co 3.71
Co  0.2500  0.2500  0.7500 x4  12 Sb 3.55, 4 Al 3.71
Sb  0.1252  0.1252  0.3748 x16  6 Sb 3.02-3.03

Output
Formation energy without anion corrections (kJ/mol of formula units): 513
Magnetization (μB per cell): 9.189

Entry 18:
Computed, not measured: crystalline YAlCo2Sb at its relaxed geometry at the PBEsol level of DFT.

Unit cell a=4.5837 b=4.5837 c=5.0857 alpha=90.00 beta=90.00 gamma=90.00
Closest atoms and distances in Å follow each position.
Space group P4/mmm (No. 123)
One atom of each set of equivalent atoms:
Y  0.0000  0.0000  0.0000 x1  4 Al 3.24, 8 Co 3.42
Al  0.5000  0.5000  0.0000 x1  2 Sb 2.54
Co  0.0000  0.5000  0.5000 x2  2 Sb 2.29
Sb  0.5000  0.5000  0.5000 x1  4 Co 2.29, 2 Al 2.54

Output
Formation energy without anion corrections (kJ/mol of formula units): 317
Magnetization (μB per cell): 1.579

Entry 19:
Computed, not measured: crystalline Sc2Al9Co3 at its relaxed geometry at the PBEsol level of DFT.

Unit cell a=12.4530 b=7.2727 c=8.9980 alpha=90.00 beta=90.00 gamma=90.00
Closest atoms and distances in Å follow each position.
Space group Cmcm (No. 63)
One atom of each set of equivalent atoms:
Sc  0.1604  0.1668  0.2500 x8  11 Al 2.84-2.97
Al  0.0000  0.1161  0.7500 x4  2 Co 2.40, 4 Al 2.67
Al  0.0000  0.3290  0.0475 x8  3 Co 2.43-2.51, 3 Al 2.63-2.67
Al  0.1114  0.4512  0.7500 x8  2 Co 2.40
Al  0.1705  0.1647  0.5739 x16  3 Co 2.40-2.53, 2 Al 2.67
Co  0.0000  0.0000  0.0000 x4  8 Al 2.40-2.53
Co  0.1712  0.5000  0.0000 x8  8 Al 2.40-2.53

Output
Magnetization (μB per cell): 0.001
E_form (eV/f.u.): -8.06

Entry 20:
Computed, not measured: crystalline ScAlCo2 at its relaxed geometry at the PBEsol level of DFT.

Unit cell a=2.9623 b=2.9623 c=5.8617 alpha=90.00 beta=90.00 gamma=90.00
Closest atoms and distances in Å follow each position.
Space group P4/mmm (No. 123)
One atom of each set of equivalent atoms:
Sc  0.0000  0.0000  0.0000 x1  8 Co 2.63, 2 Al 2.93
Al  0.0000  0.0000  0.5000 x1  8 Co 2.49
Co  0.5000  0.5000  0.2705 x2  4 Al 2.49, 4 Sc 2.63, 1 Co 2.69

Output
Magnetization (μB per cell): 0.000
E_form (eV/f.u.): -1.85

Entry 21:
Computed, not measured: crystalline AlCoSe at its relaxed geometry at the PBEsol level of DFT.

Unit cell a=5.7797 b=5.7797 c=5.7797 alpha=90.00 beta=90.00 gamma=90.00
Closest atoms and distances in Å follow each position.
Space group F-43m (No. 216)
One atom of each set of equivalent atoms:
Al  0.0000  0.0000  0.0000 x4  4 Se 2.50, 4 Co 2.50
Co  0.2500  0.2500  0.2500 x4  4 Al 2.50
Se  0.2500  0.2500  0.7500 x4  4 Al 2.50

Output
Formation energy without anion corrections (kJ/mol of formula units): 94
Magnetization (μB per cell): 1.109

Entry 22:
Computed, not measured: crystalline AlCo3Se at its relaxed geometry at the PBEsol level of DFT.

Unit cell a=4.2492 b=4.2492 c=4.2492 alpha=90.00 beta=90.00 gamma=90.00
Closest atoms and distances in Å follow each position.
Space group Pm-3m (No. 221)
One atom of each set of equivalent atoms:
Al  0.0000  0.0000  0.0000 x1  6 Co 2.12
Co  0.0000  0.0000  0.5000 x3  2 Al 2.12
Se  0.5000  0.5000  0.5000 x1  12 Co 3.00

Output
Formation energy without anion corrections (kJ/mol of formula units): 519
Magnetization (μB per cell): 3.858

Entry 23:
Computed, not measured: crystalline YAlCo2Se at its relaxed geometry at the PBEsol level of DFT.

Unit cell a=4.2980 b=4.2980 c=4.9725 alpha=90.00 beta=90.00 gamma=90.00
Closest atoms and distances in Å follow each position.
Space group P4/mmm (No. 123)
One atom of each set of equivalent atoms:
Y  0.0000  0.0000  0.0000 x1  4 Al 3.04, 8 Co 3.29
Al  0.5000  0.5000  0.0000 x1  2 Se 2.49
Co  0.0000  0.5000  0.5000 x2  2 Se 2.15
Se  0.5000  0.5000  0.5000 x1  4 Co 2.15

Output
Formation energy without anion corrections (kJ/mol of formula units): 125
Magnetization (μB per cell): 1.278

Entry 24:
Computed, not measured: crystalline Al2CoSi at its relaxed geometry at the PBEsol level of DFT.

Unit cell a=2.6007 b=4.0269 c=10.7748 alpha=90.00 beta=90.00 gamma=90.00
Closest atoms and distances in Å follow each position.
Space group Imm2 (No. 44)
One atom of each set of equivalent atoms:
Al  0.0000  0.0000  0.0000 x2  2 Co 2.49, 2 Al 2.60, 4 Si 2.74
Al  0.0000  0.5000  0.1939 x2  4 Co 2.40, 2 Al 2.60
Co  0.0000  0.5000  0.6966 x2  2 Si 2.33, 6 Al 2.40-2.49, 2 Co 2.60
Si  0.0000  0.0000  0.3759 x2  2 Co 2.33, 2 Si 2.60

Output
Formation energy without anion corrections (kJ/mol of formula units): -109
Magnetization (μB per cell): 0.000

Entry 25:
Computed, not measured: crystalline Al3Co3Si4 at its relaxed geometry at the PBEsol level of DFT.

Unit cell a=8.0314 b=8.0314 c=8.0314 alpha=90.00 beta=90.00 gamma=90.00
Closest atoms and distances in Å follow each position.
Space group Im-3m (No. 229)
One atom of each set of equivalent atoms:
Al  0.0000  0.2500  0.5000 x12  4 Co 2.40
Co  0.0000  0.0000  0.3353 x12  4 Si 2.30, 4 Al 2.40
Si  0.1613  0.1613  0.1613 x16  3 Co 2.30, 1 Si 2.47

Output
Formation energy without anion corrections (kJ/mol of formula units): -511
Magnetization (μB per cell): 0.000

Entry 26:
Computed, not measured: crystalline AlCoSi at its relaxed geometry at the PBEsol level of DFT.

Unit cell a=5.4461 b=5.4461 c=5.4461 alpha=90.00 beta=90.00 gamma=90.00
Closest atoms and distances in Å follow each position.
Space group F-43m (No. 216)
One atom of each set of equivalent atoms:
Al  0.0000  0.0000  0.0000 x4  4 Co 2.36
Co  0.2500  0.2500  0.7500 x4  4 Al 2.36, 4 Si 2.36
Si  0.0000  0.0000  0.5000 x4  4 Co 2.36

Output
Formation energy without anion corrections (kJ/mol of formula units): -134
Magnetization (μB per cell): 0.001